# 1
! LaDyTm2S4 | the Alexandria database | PBE | relaxed; values from VASP
&SYSTEM
  ibrav = 0, nat = 8, ntyp = 4
/
ATOMIC_SPECIES
La 138.91 La.upf
Dy 162.50 Dy.upf
Tm 168.93 Tm.upf
S 32.06 S.upf
CELL_PARAMETERS angstrom
-2.7900 2.7900 5.5765
2.7900 -2.7900 5.5765
2.7900 2.7900 -5.5765
ATOMIC_POSITIONS crystal
La 0.0000 0.0000 0.0000
Dy 0.5000 0.5000 0.0000
Tm 0.2500 0.7500 0.5000
Tm 0.7500 0.2500 0.5000
S 0.0000 0.5000 0.5000
S 0.2566 0.2566 0.0000
S 0.5000 0.0000 0.5000
S 0.7434 0.7434 0.0000
! ΔE_f (raw) (eV/f.u.): -15.65
! Calculated density (g/cm³): 7.34
! Total moment (Bohr magnetons per cell): 0.000

***

# 2
! LaDy2TmS6 | the Alexandria database | PBE | relaxed; values from VASP
&SYSTEM
  ibrav = 0, nat = 10, ntyp = 4
/
ATOMIC_SPECIES
La 138.91 La.upf
Dy 162.50 Dy.upf
Tm 168.93 Tm.upf
S 32.06 S.upf
CELL_PARAMETERS angstrom
3.4983 2.0198 6.1784
-3.4983 2.0198 6.1784
0.0000 -4.0395 6.1784
ATOMIC_POSITIONS crystal
La 0.0000 0.0000 0.0000
Dy 0.2878 0.2878 0.2878
Dy 0.7935 0.7935 0.7935
Tm 0.4901 0.4901 0.4901
S 0.0876 0.6667 0.4170
S 0.1971 0.5843 0.8873
S 0.4170 0.0876 0.6667
S 0.5843 0.8873 0.1971
S 0.6667 0.4170 0.0876
S 0.8873 0.1971 0.5843
! ΔE_f (raw) (eV/f.u.): -20.77
! Calculated density (g/cm³): 5.23
! Total moment (Bohr magnetons per cell): 0.000

***

# 3
! La4DyTm3S8 | the Alexandria database | PBE | relaxed; values from VASP
&SYSTEM
  ibrav = 0, nat = 16, ntyp = 4
/
ATOMIC_SPECIES
La 138.91 La.upf
Dy 162.50 Dy.upf
Tm 168.93 Tm.upf
S 32.06 S.upf
CELL_PARAMETERS angstrom
4.0511 -5.9511 0.0000
4.0511 5.9511 0.0000
0.0000 0.0000 7.8305
ATOMIC_POSITIONS crystal
La 0.0000 0.0000 0.0000
La 0.0000 0.5000 0.5000
La 0.5000 0.0000 0.5000
La 0.5000 0.5000 0.0000
Dy 0.0000 0.0000 0.5000
Tm 0.0000 0.5000 0.0000
Tm 0.5000 0.0000 0.0000
Tm 0.5000 0.5000 0.5000
S 0.2456 0.7544 0.2225
S 0.2456 0.7544 0.7775
S 0.2532 0.2532 0.2755
S 0.2532 0.2532 0.7245
S 0.7468 0.7468 0.2755
S 0.7468 0.7468 0.7245
S 0.7544 0.2456 0.2225
S 0.7544 0.2456 0.7775
! ΔE_f (raw) (eV/f.u.): -26.28
! Calculated density (g/cm³): 6.52
! Total moment (Bohr magnetons per cell): 0.000

***

# 4
! LaDyY2S6 | the Alexandria database | PBE | relaxed; values from VASP
&SYSTEM
  ibrav = 0, nat = 10, ntyp = 4
/
ATOMIC_SPECIES
La 138.91 La.upf
Dy 162.50 Dy.upf
Y 88.91 Y.upf
S 32.06 S.upf
CELL_PARAMETERS angstrom
3.5148 2.0293 6.1960
-3.5148 2.0293 6.1960
0.0000 -4.0586 6.1960
ATOMIC_POSITIONS crystal
La 0.0000 0.0000 0.0000
Dy 0.4920 0.4920 0.4920
Y 0.2890 0.2890 0.2890
Y 0.7934 0.7934 0.7934
S 0.0864 0.6682 0.4167
S 0.1925 0.5842 0.8928
S 0.4167 0.0864 0.6682
S 0.5842 0.8928 0.1925
S 0.6682 0.4167 0.0864
S 0.8928 0.1925 0.5842
! ΔE_f (raw) (eV/f.u.): -20.81
! Calculated density (g/cm³): 4.21
! Total moment (Bohr magnetons per cell): 0.000

***

# 5
! La4DyY3S8 | the Alexandria database | PBE | relaxed; values from VASP
&SYSTEM
  ibrav = 0, nat = 16, ntyp = 4
/
ATOMIC_SPECIES
La 138.91 La.upf
Dy 162.50 Dy.upf
Y 88.91 Y.upf
S 32.06 S.upf
CELL_PARAMETERS angstrom
4.0072 2.3135 6.6784
-4.0072 2.3135 6.6784
0.0000 -4.6271 6.6784
ATOMIC_POSITIONS crystal
La 0.0000 0.0000 0.0000
La 0.0000 0.5000 0.5000
La 0.5000 0.0000 0.5000
La 0.5000 0.5000 0.0000
Dy 0.5000 0.5000 0.5000
Y 0.0000 0.0000 0.5000
Y 0.0000 0.5000 0.0000
Y 0.5000 0.0000 0.0000
S 0.2434 0.2434 0.2434
S 0.2438 0.7430 0.7430
S 0.2570 0.2570 0.7562
S 0.2570 0.7562 0.2570
S 0.7430 0.2438 0.7430
S 0.7430 0.7430 0.2438
S 0.7562 0.2570 0.2570
S 0.7566 0.7566 0.7566
! ΔE_f (raw) (eV/f.u.): -33.38
! Calculated density (g/cm³): 5.55
! Total moment (Bohr magnetons per cell): 0.000

***

# 6
! La2DyYS4 | the Alexandria database | PBE | relaxed; values from VASP
&SYSTEM
  ibrav = 0, nat = 8, ntyp = 4
/
ATOMIC_SPECIES
La 138.91 La.upf
Dy 162.50 Dy.upf
Y 88.91 Y.upf
S 32.06 S.upf
CELL_PARAMETERS angstrom
6.9402 0.0000 0.0000
0.0000 3.9825 0.0000
-2.2962 0.0000 6.7097
ATOMIC_POSITIONS crystal
La 0.0000 0.0000 0.0000
La 0.5000 0.5000 0.0000
Dy 0.0000 0.5000 0.5000
Y 0.5000 0.0000 0.5000
S 0.2424 0.0000 0.7294
S 0.2564 0.5000 0.2701
S 0.7436 0.5000 0.7299
S 0.7576 0.0000 0.2706
! ΔE_f (raw) (eV/f.u.): -16.70
! Calculated density (g/cm³): 5.89
! Total moment (Bohr magnetons per cell): 0.000

***

# 7
! LaDyY2S4 | the Alexandria database | PBE | relaxed; values from VASP
&SYSTEM
  ibrav = 0, nat = 8, ntyp = 4
/
ATOMIC_SPECIES
La 138.91 La.upf
Dy 162.50 Dy.upf
Y 88.91 Y.upf
S 32.06 S.upf
CELL_PARAMETERS angstrom
6.9056 0.0000 0.0000
0.0000 3.9384 0.0000
-2.2560 0.0000 6.5378
ATOMIC_POSITIONS crystal
La 0.0000 0.0000 0.0000
Dy 0.0000 0.5000 0.5000
Y 0.5000 0.0000 0.5000
Y 0.5000 0.5000 0.0000
S 0.2550 0.0000 0.7429
S 0.2623 0.5000 0.2632
S 0.7377 0.5000 0.7368
S 0.7450 0.0000 0.2571
! ΔE_f (raw) (eV/f.u.): -16.23
! Calculated density (g/cm³): 5.67
! Total moment (Bohr magnetons per cell): 0.000

***

# 8
! LaDy2YS6 | the Alexandria database | PBE | relaxed; values from VASP
&SYSTEM
  ibrav = 0, nat = 10, ntyp = 4
/
ATOMIC_SPECIES
La 138.91 La.upf
Dy 162.50 Dy.upf
Y 88.91 Y.upf
S 32.06 S.upf
CELL_PARAMETERS angstrom
3.5136 2.0286 6.1919
-3.5136 2.0286 6.1919
0.0000 -4.0572 6.1919
ATOMIC_POSITIONS crystal
La 0.0000 0.0000 0.0000
Dy 0.2886 0.2886 0.2886
Dy 0.7932 0.7932 0.7932
Y 0.4917 0.4917 0.4917
S 0.0850 0.6671 0.4174
S 0.1912 0.5837 0.8937
S 0.4174 0.0850 0.6671
S 0.5837 0.8937 0.1912
S 0.6671 0.4174 0.0850
S 0.8937 0.1912 0.5837
! ΔE_f (raw) (eV/f.u.): -20.81
! Calculated density (g/cm³): 4.67
! Total moment (Bohr magnetons per cell): 0.000

***

# 9
! LaDyYS3 | the Alexandria database | PBE | relaxed; values from VASP
&SYSTEM
  ibrav = 0, nat = 12, ntyp = 4
/
ATOMIC_SPECIES
La 138.91 La.upf
Dy 162.50 Dy.upf
Y 88.91 Y.upf
S 32.06 S.upf
CELL_PARAMETERS angstrom
6.8822 0.0000 0.0000
0.0000 3.9254 0.0000
-2.2874 0.0000 10.1684
ATOMIC_POSITIONS crystal
La 0.1539 0.2500 0.1940
La 0.8461 0.7500 0.8060
Dy 0.2670 0.7500 0.5557
Dy 0.7330 0.2500 0.4443
Y 0.3735 0.2500 0.8668
Y 0.6265 0.7500 0.1332
S 0.0500 0.2500 0.6588
S 0.2307 0.7500 0.0005
S 0.4502 0.7500 0.3461
S 0.5498 0.2500 0.6539
S 0.7693 0.2500 0.9995
S 0.9500 0.7500 0.3412
! ΔE_f (raw) (eV/f.u.): -11.99
! Calculated density (g/cm³): 5.88
! Total moment (Bohr magnetons per cell): 0.000

***

# 10
! La2DySb3 | the Alexandria database | PBE | relaxed; values from VASP
&SYSTEM
  ibrav = 0, nat = 12, ntyp = 3
/
ATOMIC_SPECIES
La 138.91 La.upf
Dy 162.50 Dy.upf
Sb 121.76 Sb.upf
CELL_PARAMETERS angstrom
3.9401 -6.8242 0.0000
3.9401 6.8242 0.0000
-2.6303 0.0000 7.4195
ATOMIC_POSITIONS crystal
La 0.0000 0.0000 0.0000
La 0.1643 0.8357 0.5000
La 0.5000 0.5000 0.5000
La 0.8357 0.1643 0.5000
Dy 0.3324 0.6676 0.0000
Dy 0.6676 0.3324 0.0000
Sb 0.0808 0.4214 0.2420
Sb 0.2613 0.2613 0.7609
Sb 0.4214 0.0808 0.2420
Sb 0.5786 0.9192 0.7580
Sb 0.7387 0.7387 0.2391
Sb 0.9192 0.5786 0.7580
! ΔE_f (raw) (eV/f.u.): -7.32
! Calculated density (g/cm³): 6.71
! E above lowest polymorph (meV per atom): 0.0
! Total moment (Bohr magnetons per cell): 0.000

***

# 11
! LaDySb | the Alexandria database | PBE | relaxed; values from VASP
&SYSTEM
  ibrav = 0, nat = 3, ntyp = 3
/
ATOMIC_SPECIES
La 138.91 La.upf
Dy 162.50 Dy.upf
Sb 121.76 Sb.upf
CELL_PARAMETERS angstrom
-2.0474 2.0474 5.3791
2.0474 -2.0474 5.3791
2.0474 2.0474 -5.3791
ATOMIC_POSITIONS crystal
La 0.0000 0.0000 0.0000
Dy 0.7015 0.7015 0.0000
Sb 0.3310 0.3310 0.0000
! ΔE_f (raw) (eV/f.u.): -1.99
! Calculated density (g/cm³): 7.79
! Total moment (Bohr magnetons per cell): 0.516

***

# 12
! LaDy2Sb3 | the Alexandria database | PBE | relaxed; values from VASP
&SYSTEM
  ibrav = 0, nat = 6, ntyp = 3
/
ATOMIC_SPECIES
La 138.91 La.upf
Dy 162.50 Dy.upf
Sb 121.76 Sb.upf
CELL_PARAMETERS angstrom
-2.2349 3.1654 6.6909
2.2349 -3.1654 6.6909
2.2349 3.1654 -6.6909
ATOMIC_POSITIONS crystal
La 0.0000 0.0000 0.0000
Dy 0.3352 0.3352 0.0000
Dy 0.6648 0.6648 0.0000
Sb 0.1739 0.6739 0.5000
Sb 0.5000 0.0000 0.5000
Sb 0.8261 0.3261 0.5000
! ΔE_f (raw) (eV/f.u.): -7.00
! Calculated density (g/cm³): 7.27
! Total moment (Bohr magnetons per cell): 0.000

***

# 13
! LaDy5Sb4 | the Alexandria database | PBE | relaxed; values from VASP
&SYSTEM
  ibrav = 0, nat = 10, ntyp = 3
/
ATOMIC_SPECIES
La 138.91 La.upf
Dy 162.50 Dy.upf
Sb 121.76 Sb.upf
CELL_PARAMETERS angstrom
9.4429 -2.1843 0.0000
9.4429 2.1843 0.0000
-2.4305 0.0000 8.2160
ATOMIC_POSITIONS crystal
La 0.0000 0.0000 0.0000
Dy 0.0000 0.0000 0.5000
Dy 0.3207 0.3207 0.6525
Dy 0.3401 0.3401 0.1730
Dy 0.6599 0.6599 0.8270
Dy 0.6793 0.6793 0.3475
Sb 0.1742 0.1742 0.0915
Sb 0.4890 0.4890 0.7305
Sb 0.5110 0.5110 0.2695
Sb 0.8258 0.8258 0.9085
! ΔE_f (raw) (eV/f.u.): -7.28
! Calculated density (g/cm³): 7.05
! Total moment (Bohr magnetons per cell): 0.000

***

# 14
! LaDySb | the Alexandria database | PBE | relaxed; values from VASP
&SYSTEM
  ibrav = 0, nat = 6, ntyp = 3
/
ATOMIC_SPECIES
La 138.91 La.upf
Dy 162.50 Dy.upf
Sb 121.76 Sb.upf
CELL_PARAMETERS angstrom
4.5969 0.0000 0.0000
0.0000 4.5969 0.0000
0.0000 0.0000 8.8648
ATOMIC_POSITIONS crystal
La 0.2500 0.2500 0.1478
La 0.7500 0.7500 0.8522
Dy 0.2500 0.7500 0.5000
Dy 0.7500 0.2500 0.5000
Sb 0.2500 0.2500 0.7669
Sb 0.7500 0.7500 0.2331
! ΔE_f (raw) (eV/f.u.): -2.58
! Calculated density (g/cm³): 7.50
! Total moment (Bohr magnetons per cell): 0.000

***

# 15
! La2DySb3 | the Alexandria database | PBE | relaxed; values from VASP
&SYSTEM
  ibrav = 0, nat = 6, ntyp = 3
/
ATOMIC_SPECIES
La 138.91 La.upf
Dy 162.50 Dy.upf
Sb 121.76 Sb.upf
CELL_PARAMETERS angstrom
-2.2763 3.2215 6.8087
2.2763 -3.2215 6.8087
2.2763 3.2215 -6.8087
ATOMIC_POSITIONS crystal
La 0.1683 0.1683 0.0000
La 0.8317 0.8317 0.0000
Dy 0.5000 0.5000 0.0000
Sb 0.0000 0.5000 0.5000
Sb 0.3407 0.8407 0.5000
Sb 0.6593 0.1593 0.5000
! ΔE_f (raw) (eV/f.u.): -7.29
! Calculated density (g/cm³): 6.70
! E above lowest polymorph (meV per atom): 4.2
! Total moment (Bohr magnetons per cell): 0.000

***

# 16
! La2Dy2Sb5 | the Alexandria database | PBE | relaxed; values from VASP
&SYSTEM
  ibrav = 0, nat = 18, ntyp = 3
/
ATOMIC_SPECIES
La 138.91 La.upf
Dy 162.50 Dy.upf
Sb 121.76 Sb.upf
CELL_PARAMETERS angstrom
8.1566 -4.0959 0.0000
8.1566 4.0959 0.0000
0.0000 0.0000 8.2865
ATOMIC_POSITIONS crystal
La 0.1906 0.1906 0.0000
La 0.3094 0.3094 0.5000
La 0.6906 0.6906 0.5000
La 0.8094 0.8094 0.0000
Dy 0.1576 0.8424 0.6602
Dy 0.3424 0.6576 0.1602
Dy 0.6576 0.3424 0.8398
Dy 0.8424 0.1576 0.3398
Sb 0.0000 0.0000 0.0000
Sb 0.0057 0.7288 0.3609
Sb 0.2288 0.5057 0.8609
Sb 0.2712 0.9943 0.3609
Sb 0.4943 0.7712 0.8609
Sb 0.5000 0.5000 0.5000
Sb 0.5057 0.2288 0.1391
Sb 0.7288 0.0057 0.6391
Sb 0.7712 0.4943 0.1391
Sb 0.9943 0.2712 0.6391
! ΔE_f (raw) (eV/f.u.): -8.45
! Calculated density (g/cm³): 7.27
! Total moment (Bohr magnetons per cell): 0.000

***

# 17
! La5DySb4 | the Alexandria database | PBE | relaxed; values from VASP
&SYSTEM
  ibrav = 0, nat = 10, ntyp = 3
/
ATOMIC_SPECIES
La 138.91 La.upf
Dy 162.50 Dy.upf
Sb 121.76 Sb.upf
CELL_PARAMETERS angstrom
9.7481 -2.2261 0.0000
9.7481 2.2261 0.0000
-2.1967 0.0000 8.6166
ATOMIC_POSITIONS crystal
La 0.0000 0.0000 0.0000
La 0.3297 0.3297 0.1581
La 0.3341 0.3341 0.6719
La 0.6659 0.6659 0.3281
La 0.6703 0.6703 0.8419
Dy 0.0000 0.0000 0.5000
Sb 0.1652 0.1652 0.5846
Sb 0.4966 0.4966 0.2552
Sb 0.5034 0.5034 0.7448
Sb 0.8348 0.8348 0.4154
! ΔE_f (raw) (eV/f.u.): -8.54
! Calculated density (g/cm³): 5.97
! Total moment (Bohr magnetons per cell): 0.000

***

# 18
! LaDySb | the Alexandria database | PBE | relaxed; values from VASP
&SYSTEM
  ibrav = 0, nat = 6, ntyp = 3
/
ATOMIC_SPECIES
La 138.91 La.upf
Dy 162.50 Dy.upf
Sb 121.76 Sb.upf
CELL_PARAMETERS angstrom
4.4832 0.0000 0.0000
0.0000 4.4832 0.0000
0.0000 0.0000 8.9323
ATOMIC_POSITIONS crystal
La 0.2500 0.7500 0.0000
La 0.7500 0.2500 0.0000
Dy 0.2500 0.2500 0.3622
Dy 0.7500 0.7500 0.6378
Sb 0.2500 0.2500 0.7085
Sb 0.7500 0.7500 0.2915
! ΔE_f (raw) (eV/f.u.): -2.35
! Calculated density (g/cm³): 7.83
! Total moment (Bohr magnetons per cell): 0.000

***

# 19
! La3DySb3 | the Alexandria database | PBE | relaxed; values from VASP
&SYSTEM
  ibrav = 0, nat = 28, ntyp = 3
/
ATOMIC_SPECIES
La 138.91 La.upf
Dy 162.50 Dy.upf
Sb 121.76 Sb.upf
CELL_PARAMETERS angstrom
9.5839 0.0000 0.0000
0.0000 9.5839 0.0000
0.0000 0.0000 9.5839
ATOMIC_POSITIONS crystal
La 0.0664 0.4336 0.5664
La 0.1762 0.8238 0.3238
La 0.1783 0.1783 0.1783
La 0.3217 0.8217 0.6783
La 0.3238 0.1762 0.8238
La 0.4336 0.5664 0.0664
La 0.5664 0.0664 0.4336
La 0.6762 0.6762 0.6762
La 0.6783 0.3217 0.8217
La 0.8217 0.6783 0.3217
La 0.8238 0.3238 0.1762
La 0.9336 0.9336 0.9336
Dy 0.0716 0.5716 0.9284
Dy 0.4284 0.4284 0.4284
Dy 0.5716 0.9284 0.0716
Dy 0.9284 0.0716 0.5716
Sb 0.0023 0.2577 0.8693
Sb 0.1307 0.5023 0.2423
Sb 0.2423 0.1307 0.5023
Sb 0.2577 0.8693 0.0023
Sb 0.3693 0.4977 0.7423
Sb 0.4977 0.7423 0.3693
Sb 0.5023 0.2423 0.1307
Sb 0.6307 0.9977 0.7577
Sb 0.7423 0.3693 0.4977
Sb 0.7577 0.6307 0.9977
Sb 0.8693 0.0023 0.2577
Sb 0.9977 0.7577 0.6307
! ΔE_f (raw) (eV/f.u.): -7.61
! Calculated density (g/cm³): 7.13
! Total moment (Bohr magnetons per cell): 0.001

***

# 20
! LaDySb | the Alexandria database | PBE | relaxed; values from VASP
&SYSTEM
  ibrav = 0, nat = 3, ntyp = 3
/
ATOMIC_SPECIES
La 138.91 La.upf
Dy 162.50 Dy.upf
Sb 121.76 Sb.upf
CELL_PARAMETERS angstrom
5.1464 0.0000 0.0000
-2.5732 4.4569 0.0000
0.0000 0.0000 4.1959
ATOMIC_POSITIONS crystal
La 0.0000 0.0000 0.0000
Dy 0.3333 0.6667 0.4857
Sb 0.6667 0.3333 0.5986
! ΔE_f (raw) (eV/f.u.): -1.54
! Calculated density (g/cm³): 7.30
! Total moment (Bohr magnetons per cell): 0.003

***

# 21
! LaDy5Sb6 | the Alexandria database | PBE | relaxed; values from VASP
&SYSTEM
  ibrav = 0, nat = 12, ntyp = 3
/
ATOMIC_SPECIES
La 138.91 La.upf
Dy 162.50 Dy.upf
Sb 121.76 Sb.upf
CELL_PARAMETERS angstrom
3.8346 -6.6429 0.0000
3.8346 6.6429 0.0000
-2.5630 0.0000 7.2284
ATOMIC_POSITIONS crystal
La 0.0000 0.0000 0.0000
Dy 0.1636 0.8364 0.5000
Dy 0.3323 0.6677 0.0000
Dy 0.5000 0.5000 0.5000
Dy 0.6677 0.3323 0.0000
Dy 0.8364 0.1636 0.5000
Sb 0.0854 0.4260 0.2555
Sb 0.2569 0.2569 0.7476
Sb 0.4260 0.0854 0.2555
Sb 0.5740 0.9146 0.7445
Sb 0.7431 0.7431 0.2524
Sb 0.9146 0.5740 0.7445
! ΔE_f (raw) (eV/f.u.): -13.79
! Calculated density (g/cm³): 7.58
! Total moment (Bohr magnetons per cell): 0.000

***

# 22
! LaDySb2 | the Alexandria database | PBE | relaxed; values from VASP
&SYSTEM
  ibrav = 0, nat = 4, ntyp = 3
/
ATOMIC_SPECIES
La 138.91 La.upf
Dy 162.50 Dy.upf
Sb 121.76 Sb.upf
CELL_PARAMETERS angstrom
2.2363 1.2911 7.6434
-2.2363 1.2911 7.6434
0.0000 -2.5823 7.6434
ATOMIC_POSITIONS crystal
La 0.0000 0.0000 0.0000
Dy 0.8291 0.8291 0.8291
Sb 0.4172 0.4172 0.4172
Sb 0.5778 0.5778 0.5778
! ΔE_f (raw) (eV/f.u.): -4.29
! Calculated density (g/cm³): 6.83
! E above lowest polymorph (meV per atom): 128.9
! Total moment (Bohr magnetons per cell): 0.000